AgHg3Pd4 PBE-GGA relaxed; ΔH_f (0 K) = -159 meV/atom; E_tot = -3.225 eV/atom
1.0
4.209 0.000 -1.136
-0.303 4.202 -1.121
-0.085 -0.133 8.049
Pd Hg Ag
4 3 1
Cartesian
1.403 1.479 5.198
2.418 2.590 0.594
0.465 0.490 1.722
3.356 3.579 4.070
-0.151 2.101 -0.560
3.033 0.978 2.874
0.788 3.090 2.918
2.104 0.000 -0.568